Material: LaTl3Cl
Method: DFT, PBEsol
State: relaxed

Values from the calculation:
**E_tot**: -12.96 eV for the cell shown
**Mass density**: 5.70 g/cm3
**Volume**: 45.87 Å³/atom

Unit cell a=6.1210 b=6.1210 c=6.1210 alpha=90.00 beta=90.00 gamma=90.00
Space group Pm-3m (No. 221)
Asymmetric unit:
La (0.0000, 0.0000, 0.0000)
Tl (0.0000, 0.0000, 0.5000)
Cl (0.5000, 0.5000, 0.5000)


Material: TiH
Method: DFT, PBEsol
State: relaxed

Values from the calculation:
**E_tot**: -49.57 eV for the cell shown
**Mass density**: 4.62 g/cm3
**Volume**: 8.78 Å³/atom

Unit cell a=4.1256 b=4.1256 c=4.1256 alpha=90.00 beta=90.00 gamma=90.00
Space group Fm-3m (No. 225)
Asymmetric unit:
Ti (0.0000, 0.0000, 0.0000)
H (0.0000, 0.0000, 0.5000)


Material: Li2AlTl
Method: DFT, PBEsol
State: relaxed

Values from the calculation:
**ΔH_f (0 K)**: -0.142 eV per atom
**Mass density**: 5.64 g/cm3
**Volume**: 18.07 Å³/atom

Unit cell a=4.1225 b=4.1225 c=8.5048 alpha=90.00 beta=90.00 gamma=90.00
Space group I4/mmm (No. 139)
Asymmetric unit:
Li (0.0000, 0.5000, 0.2500)
Al (0.0000, 0.0000, 0.0000)
Tl (0.0000, 0.0000, 0.5000)


Material: CuTc2Br
Method: DFT, PBEsol
State: relaxed

Values from the calculation:
**Mass density**: 9.56 g/cm3
**ΔE to the lowest computed polymorph**: 135 meV per atom
**Volume**: 14.74 Å³/atom

Unit cell a=2.8597 b=4.4069 c=9.3568 alpha=90.00 beta=90.00 gamma=90.00
Space group Imm2 (No. 44)
Asymmetric unit:
Cu (0.0000, 0.0000, 0.0000)
Tc (0.0000, 0.0000, 0.5018)
Tc (0.0000, 0.5000, 0.7771)
Br (0.0000, 0.5000, 0.2312)


Material: Li4MnO3F
Method: DFT, PBEsol
State: relaxed

Values from the calculation:
**E_tot**: -212.54 eV for the cell shown
**Mass density**: 2.81 g/cm3
**Volume**: 9.84 Å³/atom

Unit cell a=8.0961 b=6.9215 c=6.3216 alpha=90.00 beta=90.00 gamma=90.00
Space group Cmc2_1 (No. 36)
Asymmetric unit:
Li (0.1528, 0.2236, 0.0000)
Li (0.1607, 0.4928, 0.2430)
Mn (0.0000, 0.1360, 0.4624)
O (0.0000, 0.2830, 0.2278)
O (0.2128, 0.0490, 0.4888)
F (0.0000, 0.2917, 0.7633)


Material: ZrTi2FeRu
Method: DFT, PBEsol
State: relaxed

Values from the calculation:
**ΔH_f (0 K)**: 0.272 eV per atom
**Mass density**: 6.75 g/cm3
**Volume**: 16.92 Å³/atom

Unit cell a=4.2894 b=4.2894 c=4.5991 alpha=90.00 beta=90.00 gamma=90.00
Space group P4/mmm (No. 123)
Asymmetric unit:
Zr (0.0000, 0.0000, 0.0000)
Ti (0.0000, 0.5000, 0.5000)
Fe (0.5000, 0.5000, 0.5000)
Ru (0.5000, 0.5000, 0.0000)